Arrangement a

Compound: BaZnAgAu2
Source: the Alexandria database
Functional: PBE-GGA
Structure: relaxed

```
BaZnAgAu2
1.0
-3.660 -2.537 2.467
-0.500 -3.144 -3.974
3.462 -3.062 1.987
Zn Ba Ag Au
1 1 1 2
direct
0.000 0.000 0.000
0.500 0.500 0.500
0.000 0.000 0.500
0.500 0.000 0.000
0.000 0.500 0.000
```

Arrangement b

Compound: BaZnAgAu2
Source: the Alexandria database
Functional: PBE-GGA
Structure: relaxed

```
BaZnAgAu2
1.0
4.612 0.000 0.000
0.000 4.612 0.000
-2.306 -2.306 5.807
Zn Au Ag Ba
1 2 1 1
direct
0.750 0.250 0.500
0.620 0.620 0.239
0.380 0.380 0.761
0.250 0.750 0.500
0.000 0.000 0.000
```

Quick one: most stable of them? arrangement b

Arrangement a

Compound: BeAg2Au2
Source: the Alexandria database
Functional: PBE-GGA
Structure: relaxed

```
BeAg2Au2
1.0
2.877 0.000 -0.462
-0.074 2.877 -0.462
0.072 0.074 9.645
Ag Be Au
2 1 2
direct
0.194 0.194 0.388
0.806 0.806 0.612
0.000 0.000 0.000
0.578 0.578 0.156
0.422 0.422 0.844
```

Arrangement b

Compound: BeAg2Au2
Source: the Alexandria database
Functional: PBE-GGA
Structure: relaxed

```
BeAg2Au2
1.0
6.220 0.000 0.000
0.000 6.220 0.000
0.000 0.000 4.449
Au Be Ag
4 2 4
direct
0.662 0.838 0.500
0.338 0.162 0.500
0.162 0.662 0.500
0.838 0.338 0.500
0.000 0.000 0.000
0.500 0.500 0.000
0.845 0.655 0.000
0.345 0.845 0.000
0.155 0.345 0.000
0.655 0.155 0.000
```

Quick one: most stable of them? arrangement a

Arrangement a

Compound: Be2AgAu
Source: the Alexandria database
Functional: PBE-GGA
Structure: relaxed

```
Be2AgAu
1.0
7.908 -0.007 -0.004
7.392 2.810 -0.004
7.392 1.354 2.462
Ag Au Be
1 1 2
direct
0.250 0.250 0.250
0.750 0.750 0.750
0.002 0.002 0.002
0.498 0.498 0.498
```

Arrangement b

Compound: Be2AgAu
Source: the Alexandria database
Functional: PBE-GGA
Structure: relaxed

```
Be2AgAu
1.0
3.860 0.000 0.000
0.000 2.937 0.003
0.000 1.482 4.576
Au Be Ag
1 2 1
direct
0.500 0.774 0.828
0.500 0.056 0.263
0.000 0.198 0.980
0.000 0.472 0.429
```

Arrangement c

Compound: Be2AgAu
Source: the Alexandria database
Functional: PBE-GGA
Structure: relaxed

```
Be2AgAu
1.0
-3.722 3.225 0.181
-4.560 -1.612 -0.944
3.894 -0.893 2.885
Be Au Ag
2 1 1
direct
0.764 0.264 0.500
0.005 0.005 0.000
0.232 0.732 0.500
0.499 0.499 0.000
```

Arrangement d

Compound: Be2AgAu
Source: the Alexandria database
Functional: PBE-GGA
Structure: relaxed

```
Be2AgAu
1.0
2.897 0.000 0.000
0.000 4.898 0.027
0.000 3.282 3.860
Be Au Ag
2 1 1
direct
0.500 0.500 0.000
0.000 0.000 0.000
0.000 0.000 0.500
0.500 0.500 0.500
```

Quick one: most stable of them? arrangement b

Arrangement a

Compound: BeAgAu
Source: the Alexandria database
Functional: PBE-GGA
Structure: relaxed

```
BeAgAu
1.0
4.295 0.000 0.000
2.147 3.719 0.000
2.147 1.240 3.507
Be Ag Au
1 1 1
direct
0.000 0.000 0.000
0.500 0.500 0.500
0.750 0.750 0.750
```

Arrangement b

Compound: BeAgAu
Source: the Alexandria database
Functional: PBE-GGA
Structure: relaxed

```
BeAgAu
1.0
-2.128 -2.674 2.218
1.561 -1.478 3.456
-1.567 1.119 3.586
Be Ag Au
1 1 1
direct
0.000 0.000 0.000
0.250 0.250 0.250
0.750 0.750 0.750
```

Quick one: most stable of them? arrangement b

Arrangement a

Compound: BeAgAu
Source: the Alexandria database
Functional: PBE-GGA
Structure: relaxed

```
BeAgAu
1.0
-0.741 -1.306 -2.439
2.651 -2.690 0.634
-5.878 -5.164 2.667
Au Be Ag
2 2 2
direct
0.094 0.750 0.327
0.906 0.250 0.673
0.452 0.750 0.584
0.548 0.250 0.416
0.302 0.750 0.897
0.698 0.250 0.103
```

Arrangement b

Compound: BeAgAu
Source: the Alexandria database
Functional: PBE-GGA
Structure: relaxed

```
BeAgAu
1.0
-2.385 0.729 -1.197
1.729 -0.246 -3.596
-1.157 -4.223 -0.267
Ag Au Be
1 1 1
direct
0.000 0.000 0.000
0.000 0.500 0.500
0.500 0.000 0.500
```

Arrangement c

Compound: BeAgAu
Source: the Alexandria database
Functional: PBE-GGA
Structure: relaxed

```
BeAgAu
1.0
-4.083 0.452 0.472
2.336 -1.164 3.207
0.417 2.965 0.773
Au Be Ag
1 1 1
direct
0.667 0.333 0.499
0.333 0.667 0.501
0.000 0.000 0.999
```

Arrangement d

Compound: BeAgAu
Source: the Alexandria database
Functional: PBE-GGA
Structure: relaxed

```
BeAgAu
1.0
-3.774 3.383 -1.733
-2.968 1.743 -4.104
-2.591 -1.490 0.150
Ag Au Be
1 1 1
direct
0.017 0.017 0.983
0.305 0.305 0.695
0.678 0.678 0.322
```

Quick one: most stable of them? arrangement a

Arrangement a

Compound: BeAgAu3
Source: the Alexandria database
Functional: PBE-GGA
Structure: relaxed

```
BeAgAu3
1.0
-1.519 -1.863 -3.753
3.914 -2.056 -0.564
-1.496 -3.488 2.337
Au Ag Be
3 1 1
direct
0.000 0.500 0.000
0.500 0.000 0.000
0.000 0.000 0.500
0.500 0.500 0.500
0.000 0.000 0.000
```

Arrangement b

Compound: BeAgAu3
Source: the Alexandria database
Functional: PBE-GGA
Structure: relaxed

```
BeAgAu3
1.0
5.080 0.000 0.000
0.000 5.080 0.000
0.000 0.000 5.080
Ag Au Be
1 3 1
direct
0.000 0.000 0.000
0.500 0.000 0.000
0.000 0.500 0.000
0.000 0.000 0.500
0.500 0.500 0.500
```

Arrangement c

Compound: BeAgAu3
Source: the Alexandria database
Functional: PBE-GGA
Structure: relaxed

```
BeAgAu3
1.0
2.877 -0.010 -0.525
-0.338 7.016 -1.685
0.015 -0.089 8.018
Ag Au Be
2 6 2
direct
0.010 0.156 0.281
0.820 0.069 0.895
0.615 0.930 0.490
0.405 0.410 0.074
0.242 0.727 0.732
0.589 0.497 0.443
0.426 0.815 0.101
0.215 0.295 0.686
0.015 0.676 0.290
0.815 0.549 0.886
```

Arrangement d

Compound: BeAgAu3
Source: the Alexandria database
Functional: PBE-GGA
Structure: relaxed

```
BeAgAu3
1.0
-4.055 4.934 -0.263
1.057 -2.568 -5.757
-1.441 -4.802 3.052
Au Ag Be
6 2 2
direct
0.692 0.413 0.105
0.308 0.587 0.895
0.253 0.519 0.346
0.747 0.481 0.654
0.173 0.907 0.654
0.827 0.093 0.346
0.755 0.043 0.798
0.245 0.957 0.202
0.673 0.715 0.389
0.327 0.285 0.611
```

Quick one: most stable of them? arrangement c